First-principles (PBE-GGA) data for an optimized crystal structure of IrRuBr2, as listed in Alexandria via LeMat-Bulk.

Unit cell a=5.783 b=5.783 c=5.783 alpha=142.09 beta=142.09 gamma=54.70
Element x y z (fractional)
Ir (0.000, 0.000, 0.000)
Ru (0.250, 0.750, 0.500)
Br (0.500, 0.500, 0.000)
Br (0.750, 0.250, 0.500)

Output
Total magnetization, μB per cell: 1.38
Formation energy from raw total energies, meV per atom: 1260